Model 1:
A relaxed structure of ScW. Source: Alexandria via LeMat-Bulk, functional PBE.

a b c (Å): 2.828 2.828 4.765
angles (deg): 90.00 90.00 107.27
Sites, in units of the cell vectors:
W1 0.500 0.500 0.500
Sc1 0.000 0.000 0.000

Results
- Total moment: 0.000 μB per formula unit
- Symmetry: Cmmm

***

Model 2:
A relaxed structure of ScW. Source: Alexandria via LeMat-Bulk, functional PBE.

a b c (Å): 4.775 4.775 5.344
angles (deg): 90.00 90.00 120.00
Site moments in Bohr magnetons follow the coordinates.
Sites, in units of the cell vectors:
Sc1 0.667 0.333 0.750  0.17
Sc2 0.333 0.667 0.250  0.17
W1 0.667 0.333 0.250  1.07
W2 0.333 0.667 0.750  1.07

Results
- Total moment: 1.522 μB per formula unit
- Symmetry: P6_3/mmc

***

Model 3:
A relaxed structure of ScW. Source: Alexandria via LeMat-Bulk, functional PBE.

a b c (Å): 8.506 8.506 4.544
angles (deg): 90.00 90.00 90.00
Sites, in units of the cell vectors:
Sc1 0.151 0.219 0.500
Sc2 0.951 0.332 0.000
Sc3 0.849 0.781 0.500
Sc4 0.049 0.668 0.000
Sc5 0.668 0.951 0.000
Sc6 0.332 0.049 0.000
Sc7 0.781 0.151 0.500
Sc8 0.219 0.849 0.500
W1 0.829 0.477 0.500
W2 0.301 0.404 0.000
W3 0.477 0.171 0.500
W4 0.699 0.596 0.000
W5 0.596 0.301 0.000
W6 0.171 0.523 0.500
W7 0.523 0.829 0.500
W8 0.404 0.699 0.000

Results
- Total moment: 0.000 μB per formula unit
- Symmetry: P4/m

***

Model 4:
A relaxed structure of ScW. Source: Alexandria via LeMat-Bulk, functional PBE.

a b c (Å): 2.929 2.929 4.972
angles (deg): 90.00 90.00 120.00
Sites, in units of the cell vectors:
W1 0.333 0.667 0.500
Sc1 0.000 0.000 0.000

Results
- Total moment: 0.000 μB per formula unit
- Symmetry: P-6m2

***

Least stable of them? model 2.

***

Model 1:
A relaxed structure of Sc2W. Source: Alexandria via LeMat-Bulk, functional PBE.

a b c (Å): 5.940 5.940 7.368
angles (deg): 77.17 77.17 28.18
Sites, in units of the cell vectors:
Sc1 0.360 0.360 0.020
Sc2 0.640 0.640 0.980
Sc3 0.033 0.033 0.669
Sc4 0.967 0.967 0.331
W1 0.708 0.708 0.351
W2 0.292 0.292 0.649

Results
- Total moment: 0.000 μB per formula unit
- Symmetry: C2/m

***

Model 2:
A relaxed structure of Sc2W. Source: Alexandria via LeMat-Bulk, functional PBE.

a b c (Å): 8.409 8.409 4.882
angles (deg): 90.00 90.00 159.94
Sites, in units of the cell vectors:
Sc1 0.452 0.548 0.750
Sc2 0.784 0.216 0.750
Sc3 0.548 0.452 0.250
Sc4 0.216 0.784 0.250
W1 0.123 0.877 0.750
W2 0.877 0.123 0.250

Results
- Total moment: 0.000 μB per formula unit
- Symmetry: Cmcm

***

Model 3:
A relaxed structure of Sc2W. Source: Alexandria via LeMat-Bulk, functional PBE.

a b c (Å): 5.932 5.932 4.556
angles (deg): 90.00 90.00 131.01
Sites, in units of the cell vectors:
W1 0.937 0.063 0.250
W2 0.063 0.937 0.750
Sc1 0.421 0.579 0.750
Sc2 0.579 0.421 0.250
Sc3 0.239 0.761 0.250
Sc4 0.761 0.239 0.750

Results
- Total moment: 0.000 μB per formula unit
- Symmetry: Cmcm

***

Least stable of them? model 1.

***

Model 1:
A relaxed structure of Sc2W. Source: Alexandria via LeMat-Bulk, functional PBE.

a b c (Å): 3.035 3.035 7.631
angles (deg): 90.00 90.00 120.00
Sites, in units of the cell vectors:
Sc1 0.333 0.667 0.643
Sc2 0.000 0.000 0.024
W1 0.667 0.333 0.333

Results
- Total moment: 0.000 μB per formula unit
- Symmetry: P-3m1

***

Model 2:
A relaxed structure of Sc2W. Source: Alexandria via LeMat-Bulk, functional PBE.

a b c (Å): 5.206 5.206 5.206
angles (deg): 147.92 127.17 63.16
Sites, in units of the cell vectors:
Sc1 0.661 0.661 0.000
Sc2 0.339 0.339 0.000
W1 0.000 0.000 0.000

Results
- Total moment: 0.000 μB per formula unit
- Symmetry: Immm

***

Least stable of them? model 1.

***

Model 1:
A relaxed structure of Sc3W. Source: Alexandria via LeMat-Bulk, functional PBE.

a b c (Å): 5.517 5.517 5.517
angles (deg): 90.00 90.00 90.00
Sites, in units of the cell vectors:
Sc1 0.500 0.000 0.750
Sc2 0.000 0.250 0.500
Sc3 0.250 0.500 0.000
Sc4 0.000 0.750 0.500
Sc5 0.500 0.000 0.250
Sc6 0.750 0.500 0.000
W1 0.500 0.500 0.500
W2 0.000 0.000 0.000

Results
- Total moment: 0.000 μB per formula unit
- Symmetry: Pm-3n

***

Model 2:
A relaxed structure of Sc3W. Source: Alexandria via LeMat-Bulk, functional PBE.

a b c (Å): 9.234 9.234 9.234
angles (deg): 152.68 152.68 39.02
Sites, in units of the cell vectors:
W1 0.628 0.628 0.000
W2 0.372 0.372 0.000
Sc1 0.500 0.000 0.500
Sc2 0.000 0.500 0.500
Sc3 0.750 0.250 0.500
Sc4 0.123 0.123 0.000
Sc5 0.250 0.750 0.500
Sc6 0.877 0.877 0.000

Results
- Total moment: 0.000 μB per formula unit
- Symmetry: I4/mmm

***

Model 3:
A relaxed structure of Sc3W. Source: Alexandria via LeMat-Bulk, functional PBE.

a b c (Å): 4.862 4.862 4.862
angles (deg): 60.00 60.00 60.00
Sites, in units of the cell vectors:
Sc1 0.500 0.500 0.500
Sc2 0.000 0.000 0.000
Sc3 0.250 0.250 0.250
W1 0.750 0.750 0.750

Results
- Total moment: 0.000 μB per formula unit
- Symmetry: Fm-3m

***

Model 4:
A relaxed structure of Sc3W. Source: Alexandria via LeMat-Bulk, functional PBE.

a b c (Å): 2.974 4.914 5.677
angles (deg): 90.00 84.67 90.00
Sites, in units of the cell vectors:
Sc1 0.250 0.500 0.250
Sc2 0.529 0.000 0.521
Sc3 0.971 0.000 0.979
W1 0.750 0.500 0.750

Results
- Total moment: 0.000 μB per formula unit
- Symmetry: P2/m

***

Least stable of them? model 1.

***

Model 1:
A relaxed structure of Sc3W. Source: Alexandria via LeMat-Bulk, functional PBE.

a b c (Å): 5.392 5.392 3.026
angles (deg): 90.00 90.00 110.79
Sites, in units of the cell vectors:
Sc1 0.000 0.000 0.000
Sc2 0.500 0.000 0.500
Sc3 0.000 0.500 0.500
W1 0.500 0.500 0.000

Results
- Total moment: 0.000 μB per formula unit
- Symmetry: Cmmm

***

Model 2:
A relaxed structure of Sc3W. Source: Alexandria via LeMat-Bulk, functional PBE.

a b c (Å): 6.199 6.199 9.949
angles (deg): 90.00 90.00 60.00
Sites, in units of the cell vectors:
W1 0.000 0.000 0.000
W2 0.333 0.333 0.750
W3 0.667 0.667 0.250
W4 0.000 0.000 0.500
Sc1 0.500 0.000 0.000
Sc2 0.000 0.500 0.500
Sc3 0.674 0.163 0.250
Sc4 0.500 0.000 0.500
Sc5 0.500 0.500 0.500
Sc6 0.837 0.837 0.750
Sc7 0.000 0.500 0.000
Sc8 0.326 0.837 0.750
Sc9 0.163 0.674 0.250
Sc10 0.837 0.326 0.750
Sc11 0.500 0.500 0.000
Sc12 0.163 0.163 0.250

Results
- Total moment: 0.000 μB per formula unit
- Symmetry: P6_3/mmc

***

Least stable of them? model 1.

***

Model 1:
A relaxed structure of Sc5W. Source: Alexandria via LeMat-Bulk, functional PBE.

a b c (Å): 5.710 5.710 5.710
angles (deg): 60.00 60.00 60.00
Site moments in Bohr magnetons follow the coordinates.
Sites, in units of the cell vectors:
Sc1 0.627 0.627 0.118  0.14
Sc2 0.118 0.627 0.627  0.14
Sc3 0.627 0.627 0.627  0.14
Sc4 0.250 0.250 0.250  0.28
Sc5 0.627 0.118 0.627  0.14
W1 0.000 0.000 0.000  -0.01

Results
- Total moment: 1.335 μB per formula unit
- Symmetry: F-43m

***

Model 2:
A relaxed structure of Sc5W. Source: Alexandria via LeMat-Bulk, functional PBE.

a b c (Å): 8.546 8.546 5.022
angles (deg): 90.00 90.00 158.91
Sites, in units of the cell vectors:
Sc1 0.238 0.762 0.500
Sc2 0.546 0.454 0.500
Sc3 0.662 0.338 0.000
Sc4 0.336 0.664 0.000
Sc5 0.991 0.009 0.000
W1 0.892 0.108 0.500

Results
- Total moment: 0.000 μB per formula unit
- Symmetry: Amm2

***

Least stable of them? model 1.

***

Model 1:
A relaxed structure of Sc5W. Source: Alexandria via LeMat-Bulk, functional PBE.

a b c (Å): 6.084 6.084 7.442
angles (deg): 77.02 77.02 29.60
Sites, in units of the cell vectors:
Sc1 0.619 0.619 0.261
Sc2 0.675 0.675 0.680
Sc3 0.336 0.336 0.315
Sc4 0.995 0.995 0.991
Sc5 0.931 0.931 0.632
W1 0.276 0.276 0.955

Results
- Total moment: 0.027 μB per formula unit
- Symmetry: Cm

***

Model 2:
A relaxed structure of Sc5W. Source: Alexandria via LeMat-Bulk, functional PBE.

a b c (Å): 5.461 5.461 5.323
angles (deg): 90.00 90.00 120.00
Site moments in Bohr magnetons follow the coordinates.
Sites, in units of the cell vectors:
Sc1 0.333 0.667 0.000  0.01
Sc2 0.000 0.500 0.500  -0.01
Sc3 0.667 0.333 0.000  0.01
Sc4 0.500 0.000 0.500  -0.01
Sc5 0.500 0.500 0.500  -0.01
W1 0.000 0.000 0.000  0.58

Results
- Total moment: 0.869 μB per formula unit
- Symmetry: P6/mmm

***

Least stable of them? model 2.

***

Model 1:
A relaxed structure of Sc3W2. Source: Alexandria via LeMat-Bulk, functional PBE.

a b c (Å): 4.694 4.694 5.774
angles (deg): 90.00 90.00 120.00
Sites, in units of the cell vectors:
Sc1 0.000 0.000 0.000
Sc2 0.667 0.333 0.631
Sc3 0.333 0.667 0.369
W1 0.667 0.333 0.087
W2 0.333 0.667 0.913

Results
- Total moment: 0.000 μB per formula unit
- Symmetry: P-3m1

***

Model 2:
A relaxed structure of Sc3W2. Source: Alexandria via LeMat-Bulk, functional PBE.

a b c (Å): 12.581 12.581 12.581
angles (deg): 13.74 13.74 13.74
Sites, in units of the cell vectors:
Sc1 0.000 0.000 0.000
Sc2 0.794 0.794 0.794
Sc3 0.206 0.206 0.206
W1 0.602 0.602 0.602
W2 0.398 0.398 0.398

Results
- Total moment: 0.000 μB per formula unit
- Symmetry: R-3m

***

Model 3:
A relaxed structure of Sc3W2. Source: Alexandria via LeMat-Bulk, functional PBE.

a b c (Å): 9.319 8.167 5.694
angles (deg): 82.41 60.31 37.28
Sites, in units of the cell vectors:
Sc1 0.160 0.340 0.340
Sc2 0.491 0.717 0.467
Sc3 0.783 0.926 0.759
Sc4 0.910 0.090 0.090
Sc5 0.533 0.759 0.926
Sc6 0.324 0.467 0.717
W1 0.685 0.892 0.334
W2 0.358 0.565 0.160
W3 0.090 0.334 0.892
W4 0.916 0.160 0.565

Results
- Total moment: 0.000 μB per formula unit
- Symmetry: Fdd2

***

Least stable of them? model 1.

***

Model 1:
A relaxed structure of Sc3W5. Source: Alexandria via LeMat-Bulk, functional PBE.

a b c (Å): 8.214 8.214 4.949
angles (deg): 90.00 90.00 73.11
Sites, in units of the cell vectors:
W1 0.962 0.800 0.250
W2 0.116 0.884 0.750
W3 0.800 0.961 0.750
W4 0.696 0.696 0.500
W5 0.200 0.039 0.250
W6 0.696 0.696 0.000
W7 0.304 0.304 0.000
W8 0.039 0.200 0.750
W9 0.304 0.304 0.500
W10 0.884 0.116 0.250
Sc1 0.644 0.356 0.750
Sc2 0.423 0.954 0.750
Sc3 0.356 0.644 0.250
Sc4 0.046 0.577 0.750
Sc5 0.577 0.046 0.250
Sc6 0.954 0.423 0.250

Results
- Total moment: 0.000 μB per formula unit
- Symmetry: Cmcm

***

Model 2:
A relaxed structure of Sc3W5. Source: Alexandria via LeMat-Bulk, functional PBE.

a b c (Å): 5.643 5.643 4.711
angles (deg): 90.00 90.00 107.97
Sites, in units of the cell vectors:
Sc1 0.500 0.500 0.000
Sc2 0.266 0.734 0.500
Sc3 0.734 0.266 0.500
W1 0.204 0.204 0.500
W2 0.796 0.796 0.500
W3 0.000 0.500 0.000
W4 0.000 0.000 0.000
W5 0.500 0.000 0.000

Results
- Total moment: 0.000 μB per formula unit
- Symmetry: Cmmm

***

Least stable of them? model 1.

***

Model 1:
A relaxed structure of Sc4W5. Source: Alexandria via LeMat-Bulk, functional PBE.

a b c (Å): 8.302 8.302 5.476
angles (deg): 90.00 90.00 60.00
Sites, in units of the cell vectors:
Sc1 0.706 0.294 0.250
Sc2 0.706 0.000 0.750
Sc3 0.000 0.000 0.000
Sc4 0.000 0.000 0.500
Sc5 0.294 0.706 0.750
Sc6 0.000 0.706 0.250
Sc7 0.000 0.294 0.750
Sc8 0.294 0.000 0.250
W1 0.601 0.399 0.750
W2 0.399 0.601 0.250
W3 0.399 0.000 0.750
W4 0.333 0.333 0.500
W5 0.000 0.601 0.750
W6 0.667 0.667 0.000
W7 0.000 0.399 0.250
W8 0.667 0.667 0.500
W9 0.333 0.333 0.000
W10 0.601 0.000 0.250

Results
- Total moment: 0.002 μB per formula unit
- Symmetry: P6_3/mcm

***

Model 2:
A relaxed structure of Sc4W5. Source: Alexandria via LeMat-Bulk, functional PBE.

a b c (Å): 7.260 7.260 7.260
angles (deg): 92.93 92.93 153.89
Sites, in units of the cell vectors:
Sc1 0.000 0.317 0.317
Sc2 0.000 0.683 0.683
Sc3 0.317 0.000 0.317
Sc4 0.683 0.000 0.683
W1 0.672 0.328 0.000
W2 0.672 0.672 0.345
W3 0.000 0.000 0.000
W4 0.328 0.328 0.655
W5 0.328 0.672 0.000

Results
- Total moment: 0.000 μB per formula unit
- Symmetry: I4/mmm

***

Least stable of them? model 1.